Record 1
Density functional theory data (GGA-PBE) for PmPrHo2Tm after structural relaxation.

abc: 8.9557 8.9557 6.4060
angles: 90.00 90.00 138.04
Positions (direct):
Pm1 0.1568 0.8432 0.7500
Pm2 0.8432 0.1568 0.2500
Pr1 0.3417 0.6583 0.7500
Pr2 0.6583 0.3417 0.2500
Ho1 0.2501 0.2501 0.0000
Ho2 0.2501 0.2501 0.5000
Ho3 0.7499 0.7499 0.0000
Ho4 0.7499 0.7499 0.5000
Tm1 0.2510 0.7490 0.2500
Tm2 0.7490 0.2510 0.7500

D(E_F)   8.211 states/eV/f.u.
Space group   Cmcm, No. 63
Energy of formation from the pure elements   0.3545 eV/atom



Record 2
Density functional theory data (GGA-PBE) for PmPr3Ho6Tm2 after structural relaxation.

abc: 6.2003 6.2003 11.8145
angles: 95.01 95.01 119.98
Positions (direct):
Pm1 0.0000 0.0000 0.0000
Pr1 0.1669 0.8331 0.5000
Pr2 0.5000 0.5000 0.5000
Pr3 0.8331 0.1669 0.5000
Ho1 0.0822 0.4162 0.2457
Ho2 0.2519 0.2519 0.7543
Ho3 0.4162 0.0822 0.2457
Ho4 0.5838 0.9178 0.7543
Ho5 0.7481 0.7481 0.2457
Ho6 0.9178 0.5838 0.7543
Tm1 0.3332 0.6668 0.0000
Tm2 0.6668 0.3332 0.0000

D(E_F)   15.657 states/eV/f.u.
Space group   C2/m, No. 12
Energy of formation from the pure elements   0.0213 eV/atom



Record 3
Density functional theory data (GGA-PBE) for Pm4Pr2HoTm2 after structural relaxation.

abc: 8.1070 8.1070 8.0516
angles: 107.63 107.63 36.85
Positions (direct):
Pm1 0.0555 0.0555 0.3295
Pm2 0.2788 0.2788 0.6705
Pm3 0.7212 0.7212 0.3295
Pm4 0.9445 0.9445 0.6705
Pr1 0.3882 0.3882 0.3303
Pr2 0.6118 0.6118 0.6697
Ho1 0.5000 0.5000 0.0000
Tm1 0.1667 0.1667 0.0003
Tm2 0.8333 0.8333 0.9997

D(E_F)   14.435 states/eV/f.u.
Space group   C2/m, No. 12
Energy of formation from the pure elements   0.0241 eV/atom



Record 4
Density functional theory data (GGA-PBE) for Pm6PrHo3Tm2 after structural relaxation.

abc: 6.2386 6.2386 11.8612
angles: 95.02 95.02 119.99
Positions (direct):
Pm1 0.0811 0.4157 0.2486
Pm2 0.2499 0.2499 0.7512
Pm3 0.4157 0.0811 0.2486
Pm4 0.5843 0.9189 0.7514
Pm5 0.7501 0.7501 0.2488
Pm6 0.9189 0.5843 0.7514
Pr1 0.5000 0.5000 0.5000
Ho1 0.0000 0.0000 0.0000
Ho2 0.3331 0.6669 0.0000
Ho3 0.6669 0.3331 0.0000
Tm1 0.1666 0.8334 0.5000
Tm2 0.8334 0.1666 0.5000

D(E_F)   14.319 states/eV/f.u.
Space group   C2/m, No. 12
Energy of formation from the pure elements   0.0158 eV/atom